(1)
NdSc2Cu9: relaxed, PBE-GGA.

Geometry as POSCAR:
```
NdSc2Cu9
1.0
2.569 1.483 8.074
-2.569 1.483 8.074
0.000 -2.966 8.074
Nd Sc Cu
1 2 9
direct
0.000 0.000 0.000 Nd
0.146 0.146 0.146 Sc
0.854 0.854 0.854 Sc
0.083 0.586 0.586 Cu
0.333 0.333 0.333 Cu
0.414 0.414 0.917 Cu
0.414 0.917 0.414 Cu
0.500 0.500 0.500 Cu
0.586 0.083 0.586 Cu
0.586 0.586 0.083 Cu
0.667 0.667 0.667 Cu
0.917 0.414 0.414 Cu
```

Total energy ... -4.724 eV per atom
ΔH_f (0 K) ... -2.4 eV/f.u.
Fermi-level density of states ... 8.8 states/eV/f.u.


(2)
NdScCu2: relaxed, PBE-GGA.

Geometry as POSCAR:
```
NdScCu2
1.0
4.878 0.000 0.000
0.000 4.878 0.000
0.000 0.000 3.402
Nd Sc Cu
1 1 2
direct
0.000 0.000 0.000 Nd
0.500 0.500 0.000 Sc
0.000 0.500 0.500 Cu
0.500 0.000 0.500 Cu
```

Total energy ... -4.968 eV per atom
ΔH_f (0 K) ... -0.6 eV/f.u.
Fermi-level density of states ... 3.4 states/eV/f.u.
Relative energy among the computed polymorphs ... 53 meV/atom


(3)
NdSc2Cu3: relaxed, PBE-GGA.

Geometry as POSCAR:
```
NdSc2Cu3
1.0
3.335 0.000 0.000
0.000 3.335 0.000
0.000 0.000 10.264
Nd Sc Cu
1 2 3
direct
0.000 0.000 0.000 Nd
0.000 0.000 0.344 Sc
0.000 0.000 0.656 Sc
0.500 0.500 0.201 Cu
0.500 0.500 0.500 Cu
0.500 0.500 0.799 Cu
```

Total energy ... -5.174 eV per atom
ΔH_f (0 K) ... -1.3 eV/f.u.
Fermi-level density of states ... 3.1 states/eV/f.u.


(4)
NdScCu17: relaxed, PBE-GGA.

Geometry as POSCAR:
```
NdScCu17
1.0
4.257 2.458 4.173
-4.257 2.458 4.173
0.000 -4.915 4.173
Nd Sc Cu
1 1 17
direct
0.000 0.000 0.000 Nd
0.317 0.317 0.317 Sc
0.008 0.008 0.499 Cu
0.008 0.499 0.008 Cu
0.157 0.659 0.659 Cu
0.315 0.315 0.807 Cu
0.315 0.807 0.315 Cu
0.363 0.654 0.957 Cu
0.363 0.957 0.654 Cu
0.499 0.008 0.008 Cu
0.556 0.556 0.556 Cu
0.654 0.363 0.957 Cu
0.654 0.957 0.363 Cu
0.659 0.157 0.659 Cu
0.659 0.659 0.157 Cu
0.753 0.753 0.753 Cu
0.807 0.315 0.315 Cu
0.957 0.363 0.654 Cu
0.957 0.654 0.363 Cu
```

Total energy ... -4.333 eV per atom
ΔH_f (0 K) ... -1.6 eV/f.u.
Fermi-level density of states ... 8.6 states/eV/f.u.


(5)
NdScCu: relaxed, PBE-GGA.

Geometry as POSCAR:
```
NdScCu
1.0
4.639 0.000 0.000
-2.320 4.018 0.000
0.000 0.000 3.876
Nd Sc Cu
1 1 1
direct
0.000 0.000 0.000 Nd
0.667 0.333 0.500 Sc
0.333 0.667 0.500 Cu
```

Total energy ... -5.042 eV per atom
ΔH_f (0 K) ... 0.1 eV/f.u.
Fermi-level density of states ... 4.0 states/eV/f.u.
Relative energy among the computed polymorphs ... 121 meV/atom


(6)
NdScCu: relaxed, PBE-GGA.

Geometry as POSCAR:
```
NdScCu
1.0
3.417 0.000 0.000
0.000 3.417 0.000
0.000 0.000 12.067
Nd Sc Cu
2 2 2
direct
0.000 0.000 0.000 Nd
0.500 0.500 0.500 Nd
0.000 0.000 0.281 Sc
0.500 0.500 0.781 Sc
0.000 0.000 0.673 Cu
0.500 0.500 0.173 Cu
```

Total energy ... -5.163 eV per atom
ΔH_f (0 K) ... -0.3 eV/f.u.
Fermi-level density of states ... 3.6 states/eV/f.u.
Relative energy among the computed polymorphs ... 0 meV/atom


(7)
NdScCuSn: relaxed, PBE-GGA.

Geometry as POSCAR:
```
NdScCuSn
1.0
7.214 0.000 0.000
0.000 7.214 0.000
0.000 0.000 7.214
Nd Sc Cu Sn
4 4 4 4
direct
0.000 0.000 0.000 Nd
0.000 0.500 0.500 Nd
0.500 0.000 0.500 Nd
0.500 0.500 0.000 Nd
0.000 0.000 0.500 Sc
0.000 0.500 0.000 Sc
0.500 0.000 0.000 Sc
0.500 0.500 0.500 Sc
0.250 0.250 0.250 Cu
0.250 0.750 0.750 Cu
0.750 0.250 0.750 Cu
0.750 0.750 0.250 Cu
0.250 0.250 0.750 Sn
0.250 0.750 0.250 Sn
0.750 0.250 0.250 Sn
0.750 0.750 0.750 Sn
```

Total energy ... -5.182 eV per atom
ΔH_f (0 K) ... -1.5 eV/f.u.
Fermi-level density of states ... 4.4 states/eV/f.u.


(8)
TbNdScCu: relaxed, PBE-GGA.

Geometry as POSCAR:
```
TbNdScCu
1.0
7.395 0.000 0.000
0.000 7.395 0.000
0.000 0.000 7.395
Tb Nd Sc Cu
4 4 4 4
direct
0.000 0.000 0.000 Tb
0.000 0.500 0.500 Tb
0.500 0.000 0.500 Tb
0.500 0.500 0.000 Tb
0.000 0.000 0.500 Nd
0.000 0.500 0.000 Nd
0.500 0.000 0.000 Nd
0.500 0.500 0.500 Nd
0.250 0.250 0.750 Sc
0.250 0.750 0.250 Sc
0.750 0.250 0.250 Sc
0.750 0.750 0.750 Sc
0.250 0.250 0.250 Cu
0.250 0.750 0.750 Cu
0.750 0.250 0.750 Cu
0.750 0.750 0.250 Cu
```

Total energy ... -4.820 eV per atom
ΔH_f (0 K) ... 0.5 eV/f.u.
Fermi-level density of states ... 3.9 states/eV/f.u.